1.
## Be8Au (GGA-PBEsol)

Data for a relaxed structure of Be8Au.

DFT total energy	-71.538	eV/cell

The structure in CIF format:
```
data_Be8Au
_space_group_name_H-M_alt 'I 4/m m m'
_space_group_IT_number 139
_space_group_name_Hall '-I 4 2'
_cell_length_a 7.063
_cell_length_b 7.063
_cell_length_c 3.275
_cell_angle_alpha 90.00
_cell_angle_beta 90.00
_cell_angle_gamma 90.00
loop_
_atom_site_label
_atom_site_fract_x
_atom_site_fract_y
_atom_site_fract_z
Be1 0.000 0.345 0.000
Be2 0.177 0.177 0.500
Au1 0.000 0.000 0.000
```


2.
## LaBeSiPd2 (GGA-PBEsol)

Data for a relaxed structure of LaBeSiPd2.

formation energy from raw total energies	136	kJ per mole of atoms

The structure in CIF format:
```
data_LaBeSiPd2
_space_group_name_H-M_alt 'P 4/m m m'
_space_group_IT_number 123
_space_group_name_Hall '-P 4 2'
_cell_length_a 5.004
_cell_length_b 5.004
_cell_length_c 4.991
_cell_angle_alpha 90.00
_cell_angle_beta 90.00
_cell_angle_gamma 90.00
loop_
_atom_site_label
_atom_site_fract_x
_atom_site_fract_y
_atom_site_fract_z
La1 0.000 0.000 0.000
Be1 0.000 0.000 0.500
Si1 0.500 0.500 0.500
Pd1 0.000 0.500 0.000
```


3.
## Tl2ZnSi (GGA-PBEsol)

Data for a relaxed structure of Tl2ZnSi.

formation energy from raw total energies	39	kJ per mole of atoms

The structure in CIF format:
```
data_Tl2ZnSi
_space_group_name_H-M_alt 'P m m m'
_space_group_IT_number 47
_cell_length_a 4.021
_cell_length_b 4.160
_cell_length_c 5.238
_cell_angle_alpha 90.00
_cell_angle_beta 90.00
_cell_angle_gamma 90.00
loop_
_space_group_symop_operation_xyz
'x,y,z'
'-x,-y,-z'
'-x,-y,z'
'x,y,-z'
'x,-y,-z'
'-x,y,z'
'-x,y,-z'
'x,-y,z'
loop_
_atom_site_label
_atom_site_fract_x
_atom_site_fract_y
_atom_site_fract_z
Tl1 0.000 0.000 0.000
Tl2 0.000 0.500 0.500
Zn1 0.500 0.000 0.500
Si1 0.500 0.500 0.000
```


4.
## Tl2Zn2Re (GGA-PBEsol)

Data for a relaxed structure of Tl2Zn2Re.

DFT total energy	-35.138	eV/cell

The structure in CIF format:
```
data_Tl2Zn2Re
_space_group_name_H-M_alt 'I 4/m m m'
_space_group_IT_number 139
_space_group_name_Hall '-I 4 2'
_cell_length_a 3.435
_cell_length_b 3.435
_cell_length_c 16.059
_cell_angle_alpha 90.00
_cell_angle_beta 90.00
_cell_angle_gamma 90.00
loop_
_atom_site_label
_atom_site_fract_x
_atom_site_fract_y
_atom_site_fract_z
Tl1 0.000 0.000 0.097
Zn1 0.000 0.500 0.250
Re1 0.000 0.000 0.500
```


5.
## SrLi2AlZn (GGA-PBEsol)

Data for a relaxed structure of SrLi2AlZn.

DFT total energy	-6.013	eV/cell

The structure in CIF format:
```
data_SrLi2AlZn
_space_group_name_H-M_alt 'P 4/m m m'
_space_group_IT_number 123
_space_group_name_Hall '-P 4 2'
_cell_length_a 5.675
_cell_length_b 5.675
_cell_length_c 5.577
_cell_angle_alpha 90.00
_cell_angle_beta 90.00
_cell_angle_gamma 90.00
loop_
_atom_site_label
_atom_site_fract_x
_atom_site_fract_y
_atom_site_fract_z
Sr1 0.000 0.000 0.000
Li1 0.000 0.500 0.000
Al1 0.500 0.500 0.500
Zn1 0.000 0.000 0.500
```


6.
## Sc2AlAg (GGA-PBEsol)

Data for a relaxed structure of Sc2AlAg.

DFT total energy	-43.544	eV/cell

The structure in CIF format:
```
data_Sc2AlAg
_space_group_name_H-M_alt 'C 1 m 1'
_space_group_IT_number 8
_cell_length_a 11.011
_cell_length_b 3.275
_cell_length_c 4.762
_cell_angle_alpha 90.00
_cell_angle_beta 115.51
_cell_angle_gamma 90.00
loop_
_space_group_symop_operation_xyz
'x,y,z'
'x,-y,z'
'x+1/2,y+1/2,z'
'x+1/2,-y+1/2,z'
loop_
_atom_site_label
_atom_site_fract_x
_atom_site_fract_y
_atom_site_fract_z
Sc1 0.000 0.000 0.000
Sc2 0.224 0.000 0.724
Al1 0.266 0.500 0.266
Ag1 0.474 0.000 0.474
```


7.
## PRh (GGA-PBEsol)

Data for a relaxed structure of PRh.

DFT total energy	-87.470	eV/cell

The structure in CIF format:
```
data_PRh
_space_group_name_H-M_alt 'R -3 m'
_space_group_IT_number 166
_space_group_name_Hall '-R 3 2"'
_cell_length_a 3.0056
_cell_length_b 3.0056
_cell_length_c 21.2758
_cell_angle_alpha 90.00
_cell_angle_beta 90.00
_cell_angle_gamma 120.00
loop_
_atom_site_label
_atom_site_fract_x
_atom_site_fract_y
_atom_site_fract_z
P1 0.0000 0.0000 0.1232
Rh1 0.0000 0.0000 0.3879
```


8.
## LaCo2Tc (GGA-PBEsol)

Data for a relaxed structure of LaCo2Tc.

DFT total energy	-29.492	eV/cell

The structure in CIF format:
```
data_LaCo2Tc
_space_group_name_H-M_alt 'P 1 2/m 1'
_space_group_IT_number 10
_cell_length_a 4.742
_cell_length_b 2.778
_cell_length_c 5.132
_cell_angle_alpha 90.00
_cell_angle_beta 114.04
_cell_angle_gamma 90.00
loop_
_space_group_symop_operation_xyz
'x,y,z'
'-x,-y,-z'
'-x,y,-z'
'x,-y,z'
loop_
_atom_site_label
_atom_site_fract_x
_atom_site_fract_y
_atom_site_fract_z
La1 0.000 0.000 0.000
Co1 0.000 0.000 0.500
Co2 0.500 0.500 0.000
Tc1 0.500 0.500 0.500
```